# 1
Entry from Alexandria via LeMat-Bulk: an optimized crystal structure of La2Ga6Pd9 (PBE).

V, Å³/atom: 19.5
DFT total energy, eV per atom: -5.1019

abc: 5.6584 5.6584 11.9329
angles: 90.00 90.00 120.00
With the nearest neighbours (Å) after each atom.
Fractional coordinates of all 17 atoms:
La 0.0000 0.0000 0.1970  6 Pd 3.26, 6 Ga 3.29
La 0.0000 0.0000 0.8030  6 Pd 3.26, 6 Ga 3.29
Ga 0.3333 0.6667 0.1639  6 Pd 2.55-2.59
Ga 0.3333 0.6667 0.5000  6 Pd 2.58
Ga 0.3333 0.6667 0.8361  6 Pd 2.55-2.59
Ga 0.6667 0.3333 0.1639  6 Pd 2.55-2.59
Ga 0.6667 0.3333 0.5000  6 Pd 2.58
Ga 0.6667 0.3333 0.8361  6 Pd 2.55-2.59
Pd 0.0000 0.5000 0.0000  4 Ga 2.55, 4 Pd 2.83
Pd 0.0000 0.5000 0.3326  4 Ga 2.58-2.59, 4 Pd 2.83
Pd 0.0000 0.5000 0.6674  4 Ga 2.58-2.59, 4 Pd 2.83
Pd 0.5000 0.0000 0.0000  4 Ga 2.55, 4 Pd 2.83
Pd 0.5000 0.0000 0.3326  4 Ga 2.58-2.59, 4 Pd 2.83
Pd 0.5000 0.0000 0.6674  4 Ga 2.58-2.59, 4 Pd 2.83
Pd 0.5000 0.5000 0.0000  4 Ga 2.55, 4 Pd 2.83
Pd 0.5000 0.5000 0.3326  4 Ga 2.58-2.59, 4 Pd 2.83
Pd 0.5000 0.5000 0.6674  4 Ga 2.58-2.59, 4 Pd 2.83

# 2
Entry from Alexandria via LeMat-Bulk: an optimized crystal structure of NiPRu2 (PBE).

V, Å³/atom: 12.6
DFT total energy, eV per atom: -7.5814

abc: 2.8529 4.1060 8.6029
angles: 90.00 90.00 90.00
With the nearest neighbours (Å) after each atom.
Fractional coordinates of all 8 atoms:
Ni 0.0000 0.0000 0.0000  2 P 2.25
Ni 0.5000 0.5000 0.5000  2 P 2.25
P 0.0000 0.5000 0.2976  2 Ni 2.25, 6 Ru 2.38-2.50
P 0.5000 0.0000 0.7976  2 Ni 2.25, 6 Ru 2.38-2.50
Ru 0.0000 0.0000 0.5761  2 P 2.38, 4 Ni 2.58
Ru 0.0000 0.5000 0.7987  4 P 2.50, 2 Ni 2.69, 2 Ru 2.78
Ru 0.5000 0.0000 0.2987  4 P 2.50, 2 Ni 2.69, 2 Ru 2.78
Ru 0.5000 0.5000 0.0761  2 P 2.38, 4 Ni 2.58

# 3
Entry from Alexandria via LeMat-Bulk: an optimized crystal structure of TbNdHgAu (PBE).

V, Å³/atom: 25.9
DFT total energy, eV per atom: -3.8852

abc: 3.7130 3.7130 7.5040
angles: 90.00 90.00 90.00
With the nearest neighbours (Å) after each atom.
Fractional coordinates of all 4 atoms:
Tb 0.0000 0.0000 0.0000  4 Au 3.09, 4 Hg 3.23
Nd 0.0000 0.0000 0.5222  4 Au 3.27, 4 Hg 3.32, 1 Tb 3.59
Hg 0.5000 0.5000 0.2510  4 Tb 3.23, 4 Nd 3.32, 1 Au 3.51
Au 0.5000 0.5000 0.7830  4 Tb 3.09, 4 Nd 3.27

no.,total moment (μB per formula unit),energy of formation from the pure elements (eV/atom)
1,0.00,-0.705
2,0.00,-0.146
3,0.10,-0.641